Record 1
K3Cd5Ag6: optimized geometry, GGA-PBE.

POSCAR file:
```
K3Cd5Ag6
1.0
-2.802 2.331 -3.180
0.156 -9.186 -6.871
-11.628 -5.077 6.524
K Cd Ag
6 10 12
direct
0.000 0.256 0.702
0.500 0.744 0.202
0.500 0.744 0.798
0.000 0.231 0.000
0.500 0.769 0.500
0.000 0.256 0.298
0.000 0.521 0.895
0.000 0.950 0.690
0.000 0.750 0.000
0.500 0.479 0.605
0.500 0.250 0.500
0.000 0.521 0.105
0.500 0.479 0.395
0.000 0.950 0.310
0.500 0.050 0.810
0.500 0.050 0.190
0.000 0.961 0.893
0.500 0.039 0.607
0.500 0.456 0.801
0.500 0.491 0.000
0.000 0.509 0.500
0.000 0.544 0.699
0.000 0.544 0.301
0.500 0.941 0.000
0.000 0.961 0.107
0.500 0.456 0.199
0.000 0.059 0.500
0.500 0.039 0.393
```

Total energy (eV per atom): -1.815
DFT formation energy (eV per atom): -0.031
Calculated volume (Å³/atom): 28.276
Fermi-level density of states (states/eV/f.u.): 4.050
M_tot (μB/cell): 0.00

Record 2
KCd7Ag5: optimized geometry, GGA-PBE.

POSCAR file:
```
KCd7Ag5
1.0
5.235 0.000 2.150
2.633 7.117 1.038
-0.086 -0.017 7.658
K Cd Ag
1 7 5
direct
0.004 0.996 0.996
0.649 0.351 0.351
0.347 0.653 0.653
0.996 0.354 0.654
0.996 0.654 0.354
0.277 0.223 0.223
0.503 0.790 0.205
0.503 0.205 0.790
0.500 0.999 0.500
0.000 0.999 0.500
0.500 0.500 0.999
0.000 0.500 0.999
0.725 0.775 0.775
```

Total energy (eV per atom): -1.736
DFT formation energy (eV per atom): -0.063
Calculated volume (Å³/atom): 22.049
Fermi-level density of states (states/eV/f.u.): 3.654
M_tot (μB/cell): 0.00

Record 3
K2Cd6Ag3: optimized geometry, GGA-PBE.

POSCAR file:
```
K2Cd6Ag3
1.0
4.638 0.000 0.000
0.000 8.630 0.000
0.000 -4.315 7.474
K Cd Ag
2 6 3
direct
0.000 0.667 0.333
0.000 0.333 0.667
0.500 0.721 0.721
0.500 0.000 0.279
0.000 0.199 0.199
0.000 0.801 0.000
0.500 0.279 0.000
0.000 0.000 0.801
0.500 0.389 0.389
0.500 0.611 0.000
0.500 0.000 0.611
```

Total energy (eV per atom): -1.506
DFT formation energy (eV per atom): -0.029
Calculated volume (Å³/atom): 27.194
Fermi-level density of states (states/eV/f.u.): 4.331
M_tot (μB/cell): 0.00